[1]
The following is a DFT calculation (PBE) of Rb2BeOsF6 after structural relaxation.

a = 5.711 Å, b = 5.711 Å, c = 5.711 Å
α = 120.28°, β = 120.28°, γ = 89.52°
Atoms (fractional coordinates):
Rb 0.250 0.750 0.500
Rb 0.750 0.250 0.500
Be 0.000 0.000 0.000
Os 0.500 0.500 0.000
F 0.227 0.227 0.454
F 0.227 0.773 0.000
F 0.230 0.230 0.000
F 0.770 0.770 0.000
F 0.773 0.227 0.000
F 0.773 0.773 0.546

E_tot, eV per atom: -4.849
Space-group type: I4/mmm, No. 139
N(E_F), states/eV/f.u.: 0.0
E_form (uncorrected), eV per atom: -2.04
V, Å³/atom: 13.1

[2]
The following is a DFT calculation (PBE) of BeOsRhF2 after structural relaxation.

a = 3.410 Å, b = 3.410 Å, c = 6.780 Å
α = 90.00°, β = 90.00°, γ = 90.00°
Atoms (fractional coordinates):
Be 0.000 0.000 0.000
Os 0.500 0.500 0.500
Rh 0.000 0.000 0.500
F 0.000 0.500 0.000
F 0.500 0.000 0.000

E_tot, eV per atom: -5.836
Space-group type: P4/mmm, No. 123
N(E_F), states/eV/f.u.: 3.9
E_form (uncorrected), eV per atom: -0.63
V, Å³/atom: 15.8

[3]
The following is a DFT calculation (PBE) of TaBe2OsF after structural relaxation.

a = 4.540 Å, b = 4.540 Å, c = 3.731 Å
α = 90.00°, β = 90.00°, γ = 90.00°
Atoms (fractional coordinates):
Ta 0.000 0.000 0.000
Be 0.000 0.500 0.000
Be 0.500 0.000 0.000
Os 0.500 0.500 0.500
F 0.000 0.000 0.500

E_tot, eV per atom: -5.450
Space-group type: P4/mmm, No. 123
N(E_F), states/eV/f.u.: 4.8
E_form (uncorrected), eV per atom: 1.03
V, Å³/atom: 15.4

[4]
The following is a DFT calculation (PBE) of BeZnOsF2 after structural relaxation.

a = 3.391 Å, b = 3.391 Å, c = 7.010 Å
α = 90.00°, β = 90.00°, γ = 90.00°
Atoms (fractional coordinates):
Be 0.000 0.000 0.000
Zn 0.500 0.500 0.500
Os 0.000 0.000 0.500
F 0.000 0.500 0.000
F 0.500 0.000 0.000

E_tot, eV per atom: -4.727
Space-group type: P4/mmm, No. 123
N(E_F), states/eV/f.u.: 1.5
E_form (uncorrected), eV per atom: -0.73
V, Å³/atom: 16.1

[5]
The following is a DFT calculation (PBE) of BePF2 after structural relaxation.

a = 10.273 Å, b = 10.273 Å, c = 10.273 Å
α = 15.65°, β = 15.65°, γ = 15.65°
Atoms (fractional coordinates):
Be 0.000 0.000 0.000
P 0.500 0.500 0.500
F 0.045 0.045 0.045
F 0.955 0.955 0.955

E_tot, eV per atom: -4.521
Space-group type: R-3m, No. 166
N(E_F), states/eV/f.u.: 1.2
E_form (uncorrected), eV per atom: -1.30
V, Å³/atom: 17.2

[6]
The following is a DFT calculation (PBE) of BePF2 after structural relaxation.

a = 5.137 Å, b = 5.137 Å, c = 5.137 Å
α = 60.00°, β = 60.00°, γ = 60.00°
Atoms (fractional coordinates):
Be 0.125 0.125 0.125
Be 0.875 0.875 0.875
P 0.375 0.375 0.375
P 0.625 0.625 0.625
F 0.000 0.000 0.000
F 0.000 0.000 0.500
F 0.000 0.500 0.000
F 0.500 0.000 0.000

E_tot, eV per atom: -4.865
Space-group type: Fd-3m, No. 227
N(E_F), states/eV/f.u.: 1.1
E_form (uncorrected), eV per atom: -1.65
V, Å³/atom: 12.0